LiCoC2O6 | the Alexandria database | PBE+U | optimized geometry; magnetization = 3.9 μB per cell; calculated total energy = -0.25183 hartree per atom; calculated volume = 126.1 Å³/f.u.; crystal system = monoclinic
1.0
5.884 0.000 0.029
2.942 5.631 0.014
1.099 0.000 7.615
Li Co C O
2 2 4 12
Direct
0.448 0.827 0.675 Li
0.275 0.173 0.175 Li
0.995 0.715 0.993 Co
0.710 0.285 0.493 Co
0.350 0.314 0.783 C
0.663 0.686 0.283 C
0.907 0.856 0.701 C
0.763 0.144 0.201 C
0.235 0.394 0.946 O
0.629 0.606 0.446 O
0.111 0.820 0.772 O
0.932 0.180 0.272 O
0.762 0.775 0.791 O
0.537 0.225 0.291 O
0.296 0.181 0.705 O
0.476 0.819 0.205 O
0.524 0.383 0.718 O
0.907 0.617 0.218 O
0.867 0.957 0.551 O
0.824 0.043 0.051 O